No. 1
! Sc2Co2P | Alexandria | GGA-PBE | relaxed; values from VASP
&SYSTEM
  ibrav = 0, nat = 10, ntyp = 3
/
ATOMIC_SPECIES
Sc 44.96 Sc.upf
Co 58.93 Co.upf
P 30.97 P.upf
ATOMIC_POSITIONS angstrom
Sc 0.0000 2.4890 1.6441
Sc 0.0000 2.4890 4.9322
Sc 2.4890 0.0000 1.6441
Sc 2.4890 0.0000 4.9322
Co 0.0000 0.0000 1.1496
Co 0.0000 0.0000 5.4267
Co 2.4890 2.4890 2.1386
Co 2.4890 2.4890 4.4377
P 0.0000 0.0000 3.2881
P 2.4890 2.4890 0.0000
CELL_PARAMETERS angstrom
4.9779 0.0000 0.0000
0.0000 4.9779 0.0000
0.0000 0.0000 6.5762
! energy above the lowest structure with this stoichiometry	230	meV/atom
! energy	-6.748	eV per atom

No. 2
! ScCo2P | Alexandria | GGA-PBE | relaxed; values from VASP
&SYSTEM
  ibrav = 0, nat = 16, ntyp = 3
/
ATOMIC_SPECIES
Sc 44.96 Sc.upf
Co 58.93 Co.upf
P 30.97 P.upf
ATOMIC_POSITIONS angstrom
Sc 0.0000 0.0000 0.0000
Sc 0.0000 3.3397 1.3169
Sc 3.3397 0.0000 3.9507
Sc 3.3397 3.3397 2.6338
Co 1.1037 1.6698 3.2922
Co 1.6698 4.4434 4.6091
Co 1.6698 5.5757 1.9753
Co 2.2360 1.6698 0.6584
Co 4.4434 5.0095 0.6584
Co 5.0095 1.1037 1.9753
Co 5.0095 2.2360 4.6091
Co 5.5757 5.0095 3.2922
P 0.0000 0.0000 2.6338
P 0.0000 3.3397 3.9507
P 3.3397 0.0000 1.3169
P 3.3397 3.3397 0.0000
CELL_PARAMETERS angstrom
6.6794 0.0000 0.0000
0.0000 6.6794 0.0000
0.0000 0.0000 5.2676
! energy	-6.785	eV per atom

No. 3
! Sc2CoP | Alexandria | GGA-PBE | relaxed; values from VASP
&SYSTEM
  ibrav = 0, nat = 8, ntyp = 3
/
ATOMIC_SPECIES
Sc 44.96 Sc.upf
Co 58.93 Co.upf
P 30.97 P.upf
ATOMIC_POSITIONS angstrom
Sc 0.0000 0.0000 0.0000
Sc 0.0000 1.8548 2.3259
Sc 1.8548 0.0000 6.9777
Sc 1.8548 1.8548 4.6518
Co 0.0000 1.8548 6.9777
Co 1.8548 0.0000 2.3259
P 0.0000 0.0000 4.6518
P 1.8548 1.8548 0.0000
CELL_PARAMETERS angstrom
3.7095 0.0000 0.0000
0.0000 3.7095 0.0000
0.0000 0.0000 9.3037
! energy	-6.892	eV per atom

No. 4
! ScCo5P2 | Alexandria | GGA-PBE | relaxed; values from VASP
&SYSTEM
  ibrav = 0, nat = 16, ntyp = 3
/
ATOMIC_SPECIES
Sc 44.96 Sc.upf
Co 58.93 Co.upf
P 30.97 P.upf
ATOMIC_POSITIONS angstrom
Sc 0.0000 0.0000 0.0000
Sc 1.7444 3.1825 4.3202
Co 0.0000 1.2298 3.0533
Co 0.0000 1.2298 5.5872
Co 0.0000 3.1825 0.0000
Co 0.0000 5.1352 3.0533
Co 0.0000 5.1352 5.5872
Co 1.7444 0.0000 4.3202
Co 1.7444 1.9527 1.2670
Co 1.7444 1.9527 7.3735
Co 1.7444 4.4123 1.2670
Co 1.7444 4.4123 7.3735
P 0.0000 3.1825 2.1569
P 0.0000 3.1825 6.4836
P 1.7444 0.0000 2.1634
P 1.7444 0.0000 6.4771
CELL_PARAMETERS angstrom
3.4888 0.0000 0.0000
0.0000 6.3650 0.0000
0.0000 0.0000 8.6404
! energy	-7.213	eV per atom

No. 5
! ScCo2P | Alexandria | GGA-PBE | relaxed; values from VASP
&SYSTEM
  ibrav = 0, nat = 4, ntyp = 3
/
ATOMIC_SPECIES
Sc 44.96 Sc.upf
Co 58.93 Co.upf
P 30.97 P.upf
ATOMIC_POSITIONS angstrom
Sc 0.0000 0.0000 0.0000
Co 0.0000 0.0000 2.8974
Co 1.5653 1.5653 1.4197
P 1.5653 1.5653 3.6185
CELL_PARAMETERS angstrom
3.1307 0.0000 0.0000
0.0000 3.1307 0.0000
0.0000 0.0000 5.4590
! energy	-6.840	eV per atom

No. 6
! Sc2CoP2 | Alexandria | GGA-PBE | relaxed; values from VASP
&SYSTEM
  ibrav = 0, nat = 10, ntyp = 3
/
ATOMIC_SPECIES
Sc 44.96 Sc.upf
Co 58.93 Co.upf
P 30.97 P.upf
ATOMIC_POSITIONS angstrom
Sc 1.0562 1.9721 0.0000
Sc 1.9721 5.0004 0.0000
Sc 4.0845 1.0562 0.0000
Sc 5.0004 4.0845 0.0000
Co 0.0000 0.0000 2.0128
Co 3.0283 3.0283 2.0128
P 0.8228 3.8511 2.0128
P 2.2055 0.8228 2.0128
P 3.8511 5.2338 2.0128
P 5.2338 2.2055 2.0128
CELL_PARAMETERS angstrom
6.0566 0.0000 0.0000
0.0000 6.0566 0.0000
0.0000 0.0000 4.0255
! energy	-7.163	eV per atom

Repeat the fifth record exactly.
! ScCo2P | Alexandria | GGA-PBE | relaxed; values from VASP
&SYSTEM
  ibrav = 0, nat = 4, ntyp = 3
/
ATOMIC_SPECIES
Sc 44.96 Sc.upf
Co 58.93 Co.upf
P 30.97 P.upf
ATOMIC_POSITIONS angstrom
Sc 0.0000 0.0000 0.0000
Co 0.0000 0.0000 2.8974
Co 1.5653 1.5653 1.4197
P 1.5653 1.5653 3.6185
CELL_PARAMETERS angstrom
3.1307 0.0000 0.0000
0.0000 3.1307 0.0000
0.0000 0.0000 5.4590
! energy	-6.840	eV per atom